Below is BiPd2RuO after structural relaxation, with properties calculated at the PBE level.

Cell lengths 5.122, 5.122, 3.616 Å; angles 90.00, 90.00, 90.00 degrees
Positions (direct):
Bi 0.000 0.000 0.000
Pd 0.000 0.500 0.500
Pd 0.500 0.000 0.500
Ru 0.500 0.500 0.500
O 0.500 0.500 0.000

Crystal system: tetragonal
Magnetic moment (μB/cell): 0.00
Symmetry: P4/mmm
ΔE_f (raw) (meV/atom): 71